Ho2PaSe2N2 | PBE | relaxed

Structure (POSCAR):
```
Ho2PaSe2N2
1.0
-1.6206 -2.2836 3.3529
3.7214 0.6005 2.2077
-3.8037 7.1074 0.1565
N Pa Ho Se
2 1 2 2
direct
0.5000 0.0000 0.0000
0.0000 0.5000 0.0000
0.0000 0.0000 0.0000
0.6146 0.6146 0.2293
0.3854 0.3854 0.7707
0.8111 0.8111 0.6221
0.1889 0.1889 0.3779
```

Results
- Formation energy (no corrections): -138.5 kJ/mol of atoms
- DOS at the Fermi energy: 0.793 states/eV/atom
- Mass density: 8.73 Mg/m³